Record 1
Here is YMg2Ru after structural relaxation from the Alexandria database. Energies are from GGA-PBEsol.

Cell lengths 4.1153, 4.1153, 9.1689 Å; angles 90.00, 90.00, 90.00 degrees
Space group I4/mmm (No. 139)
Symmetry-distinct sites (fractional):
Y  0.0000  0.0000  0.0000 [2 per cell]
Mg  0.0000  0.5000  0.2500 [4 per cell]
Ru  0.0000  0.0000  0.5000 [2 per cell]

Output
DOS at the Fermi energy ... 3.5 states/eV/cell
Total magnetic moment ... 0.0 μB/f.u.
E ... -5.15 eV per atom
E_form ... -0.046 eV/atom
Calculated density ... 5.1 g/cm3



Record 2
Here is YMgRu2 after structural relaxation from the Alexandria database. Energies are from GGA-PBEsol.

Cell lengths 3.3354, 4.2360, 4.8201 Å; angles 90.00, 90.00, 90.00 degrees
Space group Pmmm (No. 47)
Symmetry-distinct sites (fractional):
Y  0.0000  0.0000  0.0000 [1 per cell]
Mg  0.5000  0.0000  0.5000 [1 per cell]
Ru  0.0000  0.5000  0.5000 [1 per cell]
Ru  0.5000  0.5000  0.0000 [1 per cell]

Output
DOS at the Fermi energy ... 3.8 states/eV/cell
Total magnetic moment ... 0.0 μB/f.u.
E ... -7.03 eV per atom
E_form ... 0.191 eV/atom
Calculated density ... 7.7 g/cm3



Record 3
Here is Y2MgRu2 after structural relaxation from the Alexandria database. Energies are from GGA-PBEsol.

Cell lengths 7.0567, 7.0567, 4.0952 Å; angles 90.00, 90.00, 90.00 degrees
Space group P4/mbm (No. 127)
Symmetry-distinct sites (fractional):
Y  0.1730  0.3270  0.0000 [4 per cell]
Mg  0.0000  0.0000  0.5000 [2 per cell]
Ru  0.1279  0.6279  0.5000 [4 per cell]

Output
DOS at the Fermi energy ... 8.6 states/eV/cell
Total magnetic moment ... 0.0 μB/f.u.
E ... -7.30 eV per atom
E_form ... -0.163 eV/atom
Calculated density ... 6.6 g/cm3



Record 4
Here is YMgRu2 after structural relaxation from the Alexandria database. Energies are from GGA-PBEsol.

Cell lengths 3.8659, 3.8659, 9.1753 Å; angles 90.00, 90.00, 90.00 degrees
Space group I-4m2 (No. 119)
Symmetry-distinct sites (fractional):
Y  0.0000  0.0000  0.0000 [2 per cell]
Mg  0.0000  0.5000  0.2500 [2 per cell]
Ru  0.0000  0.0000  0.5000 [2 per cell]
Ru  0.0000  0.5000  0.7500 [2 per cell]

Output
DOS at the Fermi energy ... 10.2 states/eV/cell
Total magnetic moment ... 0.1 μB/f.u.
E ... -7.04 eV per atom
E_form ... 0.182 eV/atom
Calculated density ... 7.6 g/cm3



Record 5
Here is YMg2Ru after structural relaxation from the Alexandria database. Energies are from GGA-PBEsol.

Cell lengths 3.3689, 4.6739, 10.2459 Å; angles 90.00, 90.00, 90.00 degrees
Space group Immm (No. 71)
Symmetry-distinct sites (fractional):
Y  0.0000  0.0000  0.0000 [2 per cell]
Mg  0.0000  0.5000  0.2119 [4 per cell]
Ru  0.0000  0.0000  0.5000 [2 per cell]

Output
DOS at the Fermi energy ... 2.2 states/eV/cell
Total magnetic moment ... 0.0 μB/f.u.
E ... -5.22 eV per atom
E_form ... -0.109 eV/atom
Calculated density ... 4.9 g/cm3



Record 6
Here is Mg2ZnRu after structural relaxation from the Alexandria database. Energies are from GGA-PBEsol.

Cell lengths 4.1592, 4.1592, 3.5622 Å; angles 90.00, 90.00, 90.00 degrees
Space group P4/mmm (No. 123)
Symmetry-distinct sites (fractional):
Mg  0.0000  0.5000  0.0000 [2 per cell]
Zn  0.0000  0.0000  0.5000 [1 per cell]
Ru  0.5000  0.5000  0.5000 [1 per cell]

Output
DOS at the Fermi energy ... 2.2 states/eV/cell
Total magnetic moment ... 0.0 μB/f.u.
E ... -3.79 eV per atom
E_form ... 0.006 eV/atom
Calculated density ... 5.8 g/cm3



Record 7
Here is MgZn2Ru after structural relaxation from the Alexandria database. Energies are from GGA-PBEsol.

Cell lengths 3.1938, 3.1938, 5.7627 Å; angles 90.00, 90.00, 90.00 degrees
Space group P4/mmm (No. 123)
Symmetry-distinct sites (fractional):
Mg  0.0000  0.0000  0.0000 [1 per cell]
Zn  0.5000  0.5000  0.2777 [2 per cell]
Ru  0.0000  0.0000  0.5000 [1 per cell]

Output
DOS at the Fermi energy ... 2.4 states/eV/cell
Total magnetic moment ... 0.0 μB/f.u.
E ... -3.80 eV per atom
E_form ... -0.032 eV/atom
Calculated density ... 7.2 g/cm3



Record 8
Here is MgZn3Ru after structural relaxation from the Alexandria database. Energies are from GGA-PBEsol.

Cell lengths 4.6913, 4.6913, 4.6913 Å; angles 90.00, 90.00, 90.00 degrees
Space group Pm-3m (No. 221)
Symmetry-distinct sites (fractional):
Mg  0.0000  0.0000  0.0000 [1 per cell]
Zn  0.0000  0.5000  0.5000 [3 per cell]
Ru  0.5000  0.5000  0.5000 [1 per cell]

Output
DOS at the Fermi energy ... 2.5 states/eV/cell
Total magnetic moment ... 0.0 μB/f.u.
E ... -2.85 eV per atom
Polymorph energy (0 for the lowest one) ... 0.0 meV per atom
E_form ... 0.475 eV/atom
Calculated density ... 5.2 g/cm3



Record 9
Here is MgZn2Ru after structural relaxation from the Alexandria database. Energies are from GGA-PBEsol.

Cell lengths 3.7619, 3.7619, 8.0010 Å; angles 90.00, 90.00, 90.00 degrees
Space group I4/mmm (No. 139)
Symmetry-distinct sites (fractional):
Mg  0.0000  0.0000  0.0000 [2 per cell]
Zn  0.0000  0.5000  0.2500 [4 per cell]
Ru  0.0000  0.0000  0.5000 [2 per cell]

Output
DOS at the Fermi energy ... 4.5 states/eV/cell
Total magnetic moment ... 0.1 μB/f.u.
E ... -3.84 eV per atom
E_form ... -0.073 eV/atom
Calculated density ... 7.5 g/cm3



Record 10
Here is Mg2ZnRu after structural relaxation from the Alexandria database. Energies are from GGA-PBEsol.

Cell lengths 3.8442, 3.8442, 8.3335 Å; angles 90.00, 90.00, 90.00 degrees
Space group I-4m2 (No. 119)
Symmetry-distinct sites (fractional):
Mg  0.0000  0.0000  0.0000 [2 per cell]
Mg  0.0000  0.5000  0.2500 [2 per cell]
Zn  0.0000  0.5000  0.7500 [2 per cell]
Ru  0.0000  0.0000  0.5000 [2 per cell]

Output
DOS at the Fermi energy ... 4.2 states/eV/cell
Total magnetic moment ... 0.2 μB/f.u.
E ... -3.81 eV per atom
E_form ... -0.008 eV/atom
Calculated density ... 5.8 g/cm3



Record 11
Here is MgZn2Ru after structural relaxation from the Alexandria database. Energies are from GGA-PBEsol.

Cell lengths 3.3429, 4.0706, 8.3845 Å; angles 90.00, 90.00, 90.00 degrees
Space group Imm2 (No. 44)
Symmetry-distinct sites (fractional):
Mg  0.0000  0.0000  0.0000 [2 per cell]
Zn  0.0000  0.0000  0.5000 [2 per cell]
Zn  0.0000  0.5000  0.2397 [2 per cell]
Ru  0.0000  0.5000  0.7576 [2 per cell]

Output
DOS at the Fermi energy ... 4.1 states/eV/cell
Total magnetic moment ... 0.0 μB/f.u.
E ... -3.83 eV per atom
E_form ... -0.062 eV/atom
Calculated density ... 7.5 g/cm3



Record 12
Here is MgZn2Ru after structural relaxation from the Alexandria database. Energies are from GGA-PBEsol.

Cell lengths 4.0709, 4.0709, 3.4202 Å; angles 90.00, 90.00, 90.00 degrees
Space group P4/mmm (No. 123)
Symmetry-distinct sites (fractional):
Mg  0.0000  0.0000  0.0000 [1 per cell]
Zn  0.0000  0.5000  0.5000 [2 per cell]
Ru  0.5000  0.5000  0.0000 [1 per cell]

Output
DOS at the Fermi energy ... 2.0 states/eV/cell
Total magnetic moment ... 0.0 μB/f.u.
E ... -3.85 eV per atom
E_form ... -0.084 eV/atom
Calculated density ... 7.5 g/cm3



Record 13
Here is MgZn2Ru after structural relaxation from the Alexandria database. Energies are from GGA-PBEsol.

Cell lengths 3.7179, 3.7179, 8.2772 Å; angles 90.00, 90.00, 90.00 degrees
Space group I-4m2 (No. 119)
Symmetry-distinct sites (fractional):
Mg  0.0000  0.0000  0.0000 [2 per cell]
Zn  0.0000  0.0000  0.5000 [2 per cell]
Zn  0.0000  0.5000  0.7500 [2 per cell]
Ru  0.0000  0.5000  0.2500 [2 per cell]

Output
DOS at the Fermi energy ... 3.8 states/eV/cell
Total magnetic moment ... 0.5 μB/f.u.
E ... -3.81 eV per atom
E_form ... -0.047 eV/atom
Calculated density ... 7.4 g/cm3



Record 14
Here is Mg2ZnRu after structural relaxation from the Alexandria database. Energies are from GGA-PBEsol.

Cell lengths 2.8863, 2.8863, 26.9538 Å; angles 90.00, 90.00, 120.00 degrees
Space group R-3m (No. 166, hexagonal axes)
Symmetry-distinct sites (fractional):
Mg  0.0000  0.0000  0.2453 [6 per cell]
Zn  0.0000  0.0000  0.0000 [3 per cell]
Ru  0.0000  0.0000  0.5000 [3 per cell]

Output
DOS at the Fermi energy ... 8.4 states/eV/cell
Total magnetic moment ... 0.0 μB/f.u.
E ... -3.65 eV per atom
E_form ... 0.148 eV/atom
Calculated density ... 5.5 g/cm3



Record 15
Here is Mg2ZnRu after structural relaxation from the Alexandria database. Energies are from GGA-PBEsol.

Cell lengths 3.4858, 4.1904, 8.4245 Å; angles 90.00, 90.00, 90.00 degrees
Space group Immm (No. 71)
Symmetry-distinct sites (fractional):
Mg  0.0000  0.0000  0.2498 [4 per cell]
Zn  0.0000  0.5000  0.0000 [2 per cell]
Ru  0.0000  0.5000  0.5000 [2 per cell]

Output
DOS at the Fermi energy ... 4.0 states/eV/cell
Total magnetic moment ... 0.0 μB/f.u.
E ... -3.78 eV per atom
E_form ... 0.016 eV/atom
Calculated density ... 5.8 g/cm3



Record 16
Here is Mg2ZnRu after structural relaxation from the Alexandria database. Energies are from GGA-PBEsol.

Cell lengths 3.4404, 4.1856, 8.6366 Å; angles 90.00, 90.00, 90.00 degrees
Space group Imm2 (No. 44)
Symmetry-distinct sites (fractional):
Mg  0.0000  0.0000  0.0000 [2 per cell]
Mg  0.0000  0.5000  0.2318 [2 per cell]
Zn  0.0000  0.0000  0.4769 [2 per cell]
Ru  0.0000  0.5000  0.7516 [2 per cell]

Output
DOS at the Fermi energy ... 3.9 states/eV/cell
Total magnetic moment ... 0.0 μB/f.u.
E ... -3.82 eV per atom
E_form ... -0.025 eV/atom
Calculated density ... 5.7 g/cm3



Record 17
Here is MgZr2Ru after structural relaxation from the Alexandria database. Energies are from GGA-PBEsol.

Cell lengths 3.2675, 3.2675, 7.1375 Å; angles 90.00, 90.00, 90.00 degrees
Space group P4/mmm (No. 123)
Symmetry-distinct sites (fractional):
Mg  0.0000  0.0000  0.0000 [1 per cell]
Zr  0.5000  0.5000  0.2779 [2 per cell]
Ru  0.0000  0.0000  0.5000 [1 per cell]

Output
DOS at the Fermi energy ... 2.5 states/eV/cell
Total magnetic moment ... 0.0 μB/f.u.
E ... -7.73 eV per atom
E_form ... -0.216 eV/atom
Calculated density ... 6.7 g/cm3



Record 18
Here is MgZr2Ru after structural relaxation from the Alexandria database. Energies are from GGA-PBEsol.

Cell lengths 3.2680, 4.7196, 9.9017 Å; angles 90.00, 90.00, 90.00 degrees
Space group Imm2 (No. 44)
Symmetry-distinct sites (fractional):
Mg  0.0000  0.0000  0.0000 [2 per cell]
Zr  0.0000  0.0000  0.5678 [2 per cell]
Zr  0.0000  0.5000  0.7867 [2 per cell]
Ru  0.0000  0.5000  0.2765 [2 per cell]

Output
DOS at the Fermi energy ... 6.4 states/eV/cell
Total magnetic moment ... 0.0 μB/f.u.
E ... -7.66 eV per atom
E_form ... -0.146 eV/atom
Calculated density ... 6.7 g/cm3



Record 19
Here is MgZr2Ru after structural relaxation from the Alexandria database. Energies are from GGA-PBEsol.

Cell lengths 3.3979, 4.9007, 9.2711 Å; angles 90.00, 90.00, 90.00 degrees
Space group Cmm2 (No. 35)
Symmetry-distinct sites (fractional):
Mg  0.0000  0.0000  0.0000 [2 per cell]
Zr  0.0000  0.0000  0.5728 [2 per cell]
Zr  0.0000  0.5000  0.2890 [2 per cell]
Ru  0.0000  0.5000  0.7770 [2 per cell]

Output
DOS at the Fermi energy ... 6.5 states/eV/cell
Total magnetic moment ... 0.0 μB/f.u.
E ... -7.49 eV per atom
E_form ... 0.023 eV/atom
Calculated density ... 6.6 g/cm3



Record 20
Here is MgZrRu2 after structural relaxation from the Alexandria database. Energies are from GGA-PBEsol.

Cell lengths 3.7508, 3.7508, 9.0632 Å; angles 90.00, 90.00, 90.00 degrees
Space group I-4m2 (No. 119)
Symmetry-distinct sites (fractional):
Mg  0.0000  0.0000  0.0000 [2 per cell]
Zr  0.0000  0.5000  0.7500 [2 per cell]
Ru  0.0000  0.0000  0.5000 [2 per cell]
Ru  0.0000  0.5000  0.2500 [2 per cell]

Output
DOS at the Fermi energy ... 9.1 states/eV/cell
Total magnetic moment ... 0.0 μB/f.u.
E ... -7.83 eV per atom
E_form ... -0.045 eV/atom
Calculated density ... 8.3 g/cm3